No. 1
# Ba2InRe | Alexandria via LeMat-Bulk | meta-GGA SCAN | single point on PBEsol structure
# formation enthalpy at 0 K = 2.00 eV/f.u.
data_Ba2InRe
_chemical_formula_sum 'Ba2 In1 Re1'
_symmetry_space_group_name_H-M 'P 4 m m'
_symmetry_Int_Tables_number 99
_cell_length_a 3.739
_cell_length_b 3.739
_cell_length_c 9.331
_cell_angle_alpha 90.00
_cell_angle_beta 90.00
_cell_angle_gamma 90.00
loop_
_symmetry_equiv_pos_as_xyz
'x,y,z'
'-y,x,z'
'-x,-y,z'
'y,-x,z'
'-x,y,z'
'y,x,z'
'x,-y,z'
'-y,-x,z'
loop_
_atom_site_label
_atom_site_type_symbol
_atom_site_fract_x
_atom_site_fract_y
_atom_site_fract_z
Ba1 Ba 0.000 0.000 0.000
Ba2 Ba 0.500 0.500 0.424
In1 In 0.000 0.000 0.660
Re1 Re 0.500 0.500 0.750



No. 2
# ScTeO3F | Alexandria via LeMat-Bulk | meta-GGA SCAN | single point on PBEsol structure
# uncorrected formation energy = -2611 meV/atom
data_ScTeO3F
_chemical_formula_sum 'Sc8 Te8 O24 F8'
_symmetry_space_group_name_H-M 'P n n a'
_symmetry_Int_Tables_number 52
_cell_length_a 5.643
_cell_length_b 21.959
_cell_length_c 5.539
_cell_angle_alpha 90.00
_cell_angle_beta 90.00
_cell_angle_gamma 90.00
loop_
_symmetry_equiv_pos_as_xyz
'x,y,z'
'-x,-y,-z'
'-x+1/2,-y,z'
'x+1/2,y,-z'
'x,-y+1/2,-z+1/2'
'-x,y+1/2,z+1/2'
'-x+1/2,y+1/2,-z+1/2'
'x+1/2,-y+1/2,z+1/2'
loop_
_atom_site_label
_atom_site_type_symbol
_atom_site_fract_x
_atom_site_fract_y
_atom_site_fract_z
Sc1 Sc 0.085 0.250 0.250
Sc2 Sc 0.250 0.000 0.175
Te1 Te 0.216 0.609 0.811
O1 O 0.053 0.161 0.366
O2 O 0.058 0.552 0.594
O3 O 0.122 0.561 0.077
F1 F 0.174 0.728 0.504



No. 3
# TiBeIr3 | Alexandria via LeMat-Bulk | meta-GGA SCAN | single point on PBEsol structure
# formation enthalpy at 0 K = -1.82 eV/f.u.
data_TiBeIr3
_chemical_formula_sum 'Ti1 Be1 Ir3'
_symmetry_space_group_name_H-M 'P m -3 m'
_symmetry_Int_Tables_number 221
_symmetry_space_group_name_Hall '-P 4 2 3'
_cell_length_a 4.078
_cell_length_b 4.078
_cell_length_c 4.078
_cell_angle_alpha 90.00
_cell_angle_beta 90.00
_cell_angle_gamma 90.00
loop_
_atom_site_label
_atom_site_type_symbol
_atom_site_fract_x
_atom_site_fract_y
_atom_site_fract_z
Ti1 Ti 0.000 0.000 0.000
Be1 Be 0.500 0.500 0.500
Ir1 Ir 0.000 0.500 0.500



No. 4
# TlFeAs2 | Alexandria via LeMat-Bulk | meta-GGA SCAN | single point on PBEsol structure
# polymorph energy (0 for the lowest one) = 522 meV per atom
# formation enthalpy at 0 K = 2.20 eV/f.u.
data_TlFeAs2
_chemical_formula_sum 'Tl1 Fe1 As2'
_symmetry_space_group_name_H-M 'P m m m'
_symmetry_Int_Tables_number 47
_cell_length_a 3.564
_cell_length_b 4.248
_cell_length_c 4.921
_cell_angle_alpha 90.00
_cell_angle_beta 90.00
_cell_angle_gamma 90.00
loop_
_symmetry_equiv_pos_as_xyz
'x,y,z'
'-x,-y,-z'
'-x,-y,z'
'x,y,-z'
'x,-y,-z'
'-x,y,z'
'-x,y,-z'
'x,-y,z'
loop_
_atom_site_label
_atom_site_type_symbol
_atom_site_fract_x
_atom_site_fract_y
_atom_site_fract_z
Tl1 Tl 0.000 0.000 0.000
Fe1 Fe 0.500 0.500 0.000
As1 As 0.000 0.500 0.500
As2 As 0.500 0.000 0.500



No. 5
# AlZnBr | Alexandria via LeMat-Bulk | meta-GGA SCAN | single point on PBEsol structure
# uncorrected formation energy = 29 meV/atom
data_AlZnBr
_chemical_formula_sum 'Al1 Zn1 Br1'
_symmetry_space_group_name_H-M 'P 3 m 1'
_symmetry_Int_Tables_number 156
_cell_length_a 3.6799
_cell_length_b 3.6799
_cell_length_c 5.4335
_cell_angle_alpha 90.00
_cell_angle_beta 90.00
_cell_angle_gamma 120.00
loop_
_symmetry_equiv_pos_as_xyz
'x,y,z'
'-y,x-y,z'
'-x+y,-x,z'
'-y,-x,z'
'-x+y,y,z'
'x,x-y,z'
loop_
_atom_site_label
_atom_site_type_symbol
_atom_site_fract_x
_atom_site_fract_y
_atom_site_fract_z
Al1 Al 0.0000 0.0000 0.0000
Zn1 Zn 0.6667 0.3333 0.2713
Br1 Br 0.3333 0.6667 0.6487



No. 6
# BaLi2H2 | Alexandria via LeMat-Bulk | meta-GGA SCAN | single point on PBEsol structure
# E = -10.0920 eV per atom
data_BaLi2H2
_chemical_formula_sum 'Ba2 Li4 H4'
_symmetry_space_group_name_H-M 'P 4/m b m'
_symmetry_Int_Tables_number 127
_symmetry_space_group_name_Hall '-P 4 2ab'
_cell_length_a 7.074
_cell_length_b 7.074
_cell_length_c 3.252
_cell_angle_alpha 90.00
_cell_angle_beta 90.00
_cell_angle_gamma 90.00
loop_
_atom_site_label
_atom_site_type_symbol
_atom_site_fract_x
_atom_site_fract_y
_atom_site_fract_z
Ba1 Ba 0.000 0.000 0.000
Li1 Li 0.109 0.391 0.500
H1 H 0.126 0.626 0.000